# MoHNO2, PBEsol geometry, DFT meta-GGA SCAN
# * magnetization: 0.00 μB per cell
# * ρ: 6.8 Mg/m³
# * N(E_F): 2.29 states/eV/cell
# * electronic total energy: -11.49 eV per atom
data_MoHNO2
_chemical_formula_sum 'Mo1 H1 N1 O2'
_cell_length_a 3.6612
_cell_length_b 3.6612
_cell_length_c 2.6224
_cell_angle_alpha 90.00
_cell_angle_beta 90.00
_cell_angle_gamma 90.00
_symmetry_space_group_name_H-M 'P 4/m m m'
_symmetry_Int_Tables_number 123
_symmetry_space_group_name_Hall '-P 4 2'
loop_
_atom_site_label
_atom_site_type_symbol
_atom_site_fract_x
_atom_site_fract_y
_atom_site_fract_z
Mo1 Mo 0.0000 0.0000 0.0000
H1 H 0.5000 0.5000 0.5000
N1 N 0.5000 0.5000 0.0000
O1 O 0.0000 0.5000 0.5000